# 1
# Dy7Y2Tm3 GGA-PBE optimized geometry
data_Dy7Y2Tm3
_cell_length_a 3.573
_cell_length_b 5.778
_cell_length_c 18.845
_cell_angle_alpha 98.82
_cell_angle_beta 90.00
_cell_angle_gamma 90.00
_space_group_name_H-M_alt 'P 1'
_space_group_IT_number 1
loop_
_space_group_symop_operation_xyz
'x,y,z'
loop_
_atom_site_label
_atom_site_type_symbol
_atom_site_fract_x
_atom_site_fract_y
_atom_site_fract_z
Dy1 Dy 0.000 0.428 0.855
Dy2 Dy 0.000 0.572 0.145
Dy3 Dy 0.500 0.091 0.181
Dy4 Dy 0.000 0.730 0.459
Dy5 Dy 0.500 0.909 0.819
Dy6 Dy 0.000 0.270 0.541
Dy7 Dy 0.000 0.000 0.000
Y1 Y 0.000 0.176 0.352
Y2 Y 0.000 0.824 0.648
Tm1 Tm 0.500 0.650 0.300
Tm2 Tm 0.500 0.500 0.000
Tm3 Tm 0.500 0.350 0.700
# DOS at the Fermi energy: 20.95 states/eV per cell
# Total magnetization: 0.04 μB per atom
# Energy above the most stable polymorph in this dataset: 0.075 eV/atom
# Symmetry: Cmmm, No. 65
# Formation enthalpy at 0 K: 0.152 eV/atom

=====

# 2
# Dy12Y2Tm5 GGA-PBE optimized geometry
data_Dy12Y2Tm5
_cell_length_a 6.791
_cell_length_b 9.195
_cell_length_c 11.117
_cell_angle_alpha 104.34
_cell_angle_beta 90.00
_cell_angle_gamma 111.67
_space_group_name_H-M_alt 'P 1'
_space_group_IT_number 1
loop_
_space_group_symop_operation_xyz
'x,y,z'
loop_
_atom_site_label
_atom_site_type_symbol
_atom_site_fract_x
_atom_site_fract_y
_atom_site_fract_z
Tm1 Tm 0.208 0.417 0.509
Tm2 Tm 0.792 0.583 0.491
Tm3 Tm 0.774 0.548 0.005
Tm4 Tm 0.000 0.000 0.500
Tm5 Tm 0.226 0.452 0.995
Y1 Y 0.753 0.000 0.000
Y2 Y 0.247 0.000 0.000
Dy1 Dy 0.931 0.385 0.226
Dy2 Dy 0.069 0.615 0.774
Dy3 Dy 0.948 0.897 0.730
Dy4 Dy 0.453 0.385 0.226
Dy5 Dy 0.851 0.225 0.752
Dy6 Dy 0.420 0.840 0.577
Dy7 Dy 0.149 0.775 0.248
Dy8 Dy 0.626 0.775 0.248
Dy9 Dy 0.052 0.103 0.270
Dy10 Dy 0.374 0.225 0.752
Dy11 Dy 0.547 0.615 0.774
Dy12 Dy 0.580 0.160 0.423
# DOS at the Fermi energy: 29.77 states/eV per cell
# Total magnetization: 0.00 μB per atom
# Energy above the most stable polymorph in this dataset: 0.260 eV/atom
# Symmetry: C2/m, No. 12
# Formation enthalpy at 0 K: 0.279 eV/atom